Ag3Br2F | the Alexandria database | PBE | optimized geometry; SG = P3m1 (156); energy above the lowest structure with this stoichiometry = 35 meV/atom; formation energy without anion corrections = -0.5023 eV/atom
1.0
4.262 0.000 0.000
-2.131 3.691 0.000
0.000 0.000 10.454
Ag Br F
3 2 1
direct
0.000 0.000 0.000
0.333 0.667 0.633
0.667 0.333 0.269
0.000 0.000 0.742
0.333 0.667 0.375
0.667 0.333 0.046